DFT (GGA-PBE) results for NdSnPtAu after structural relaxation.

Computed properties:
- Volume: 181 Å³/cell
- ρ: 12.05 Mg/m³
- E: -5.3283 eV per atom
- Total magnetization: 0.0 μB/cell
- SG: P-6m2

```
data_NdSnPtAu
_chemical_formula_sum 'Nd2 Sn2 Pt2 Au2'
_symmetry_space_group_name_H-M 'P 1'
_symmetry_Int_Tables_number 1
_symmetry_space_group_name_Hall 'P 1'
_cell_length_a 4.742
_cell_length_b 4.742
_cell_length_c 9.270
_cell_angle_alpha 90.00
_cell_angle_beta 90.00
_cell_angle_gamma 120.00
loop_
_atom_site_label
_atom_site_type_symbol
_atom_site_fract_x
_atom_site_fract_y
_atom_site_fract_z
Nd1 Nd 0.000 0.000 0.000
Pt1 Pt 0.333 0.667 0.169
Sn1 Sn 0.667 0.333 0.222
Sn2 Sn 0.667 0.333 0.778
Au1 Au 0.000 0.000 0.345
Nd2 Nd 0.333 0.667 0.500
Pt2 Pt 0.333 0.667 0.831
Au2 Au 0.000 0.000 0.655
```